A PBEsol-optimized structure of Co2IrOs. Source: Alexandria via LeMat-Bulk, functional SCAN.

a = 2.649 Å, b = 2.649 Å, c = 6.993 Å
α = 90.00°, β = 90.00°, γ = 90.00°
Space group P4mm (No. 99)
Inequivalent atoms, fractional coordinates:
Co1 0.000 0.000 0.000
Co2 0.500 0.500 0.222
Ir1 0.000 0.000 0.478
Os1 0.500 0.500 0.751

Computed properties:
As for the total energy: -177.1 eV/cell. The density of states at the Fermi level is 3.601 states/eV/cell. Its energy above the most stable polymorph in this dataset is 0.008 eV per atom.